The following is a DFT calculation (PBE-GGA) of NdSc2Se4 after structural relaxation.

Its density of states at the Fermi level is 0.35 states/eV per atom. For the raw formation energy, the calculation gives -1.7639 eV per atom.

It has space group Cmcm (No. 63), with a = 3.934 Å, b = 12.826 Å, c = 13.402 Å, α = 90.00°, β = 90.00° and γ = 90.00°. The asymmetric unit holds Nd at (0.000, 0.122, 0.250), Sc at (0.000, 0.371, 0.064), Se at (0.000, 0.000, 0.000), Se at (0.000, 0.271, 0.616) and Se at (0.000, 0.450, 0.250).

The following is a DFT calculation (PBE-GGA) of Te2PdIF after structural relaxation.

Its density of states at the Fermi level is 1.43 states/eV per atom. As for the relative energy among the computed polymorphs: 0 meV per atom. For the raw formation energy, the calculation gives 0.1255 eV per atom.

It has space group P4/mmm (No. 123), with a = 5.239 Å, b = 5.239 Å, c = 5.447 Å, α = 90.00°, β = 90.00° and γ = 90.00°. The asymmetric unit holds Te at (0.000, 0.500, 0.000), Pd at (0.000, 0.000, 0.000), I at (0.000, 0.000, 0.500) and F at (0.500, 0.500, 0.500).

The following is a DFT calculation (PBE-GGA) of FeCuH after structural relaxation.

Its density of states at the Fermi level is 0.58 states/eV per atom. As for the relative energy among the computed polymorphs: 27 meV per atom.

It has space group P3m1 (No. 156), with a = 2.6107 Å, b = 2.6107 Å, c = 4.5677 Å, α = 90.00°, β = 90.00° and γ = 120.00°. The asymmetric unit holds Fe at (0.0000, 0.0000, 0.0000), Cu at (0.6667, 0.3333, 0.5446) and H at (0.6667, 0.3333, 0.1713).

The following is a DFT calculation (PBE-GGA) of Tb4Dy9Er11 after structural relaxation.

Its density of states at the Fermi level is 1.22 states/eV per atom. The formation energy comes out at 115 kJ/mol of formula units.

It has space group Cmmm (No. 65), with a = 16.519 Å, b = 24.898 Å, c = 3.641 Å, α = 90.00°, β = 90.00° and γ = 90.00°. The asymmetric unit holds Tb at (0.155, 0.101, 0.000), Dy at (0.000, 0.000, 0.000), Dy at (0.102, 0.235, 0.000), Dy at (0.141, 0.427, 0.000), Er at (0.000, 0.134, 0.500), Er at (0.000, 0.340, 0.500), Er at (0.000, 0.500, 0.500), Er at (0.209, 0.000, 0.500) and Er at (0.226, 0.319, 0.500).

The following is a DFT calculation (PBE-GGA) of CoAgGe2 after structural relaxation.

Its density of states at the Fermi level is 0.43 states/eV per atom. The formation energy comes out at 22 kJ/mol of formula units. As for the relative energy among the computed polymorphs: 0 meV per atom.

It has space group R-3m (No. 166, hexagonal axes), with a = 2.9669 Å, b = 2.9669 Å, c = 25.8853 Å, α = 90.00°, β = 90.00° and γ = 120.00°. The asymmetric unit holds Co at (0.0000, 0.0000, 0.0000), Ag at (0.0000, 0.0000, 0.5000) and Ge at (0.0000, 0.0000, 0.4003).

no.,magnetization (Bohr magnetons per cell)
1,0.00
2,0.00
3,2.17
4,0.01
5,1.60